YCdIrO6: relaxed, PBE.

Results
- raw formation energy (meV per atom) = -1396
- magnetic moment (μB/f.u.) = 1.57

a = 5.573 Å, b = 5.573 Å, c = 9.122 Å
α = 90.00°, β = 90.00°, γ = 120.00°
Fractional positions:
Y 0.333 0.667 0.250
Y 0.667 0.333 0.750
Cd 0.000 0.000 0.000
Cd 0.000 0.000 0.500
Ir 0.333 0.667 0.750
Ir 0.667 0.333 0.250
O 0.044 0.383 0.631
O 0.044 0.661 0.869
O 0.339 0.383 0.869
O 0.339 0.956 0.631
O 0.383 0.044 0.131
O 0.383 0.339 0.369
O 0.617 0.661 0.631
O 0.617 0.956 0.869
O 0.661 0.044 0.369
O 0.661 0.617 0.131
O 0.956 0.339 0.131
O 0.956 0.617 0.369